Compound: CaScSi2
Source: the Alexandria database
Functional: GGA-PBEsol
Structure: relaxed

Lattice parameters (Å, degrees): 3.848 3.848 5.827 90.00 90.00 90.00
Sites, in units of the cell vectors:
Ca 0.000 0.000 0.463
Sc 0.500 0.500 0.821
Si 0.000 0.000 0.955
Si 0.500 0.500 0.261

Summary:
- density (g/cm3) = 2.718
- D(E_F) (states/eV per cell) = 3.2
- ΔE to the lowest computed polymorph (meV/atom) = 453
- space-group type = P4mm (99)
- formation energy without anion corrections (eV/atom) = -0.063

=====

Compound: MnTlSi2
Source: the Alexandria database
Functional: GGA-PBEsol
Structure: relaxed

Lattice parameters (Å, degrees): 2.980 4.069 6.580 100.46 90.00 111.49
Site moments in Bohr magnetons follow the coordinates.
Sites, in units of the cell vectors:
Mn 0.500 0.000 0.000  1.17
Si 0.770 0.541 0.859  -0.05
Si 0.230 0.459 0.141  -0.05
Tl 0.000 0.000 0.500  -0.02

Summary:
- density (g/cm3) = 7.194
- D(E_F) (states/eV per cell) = 2.5
- ΔE to the lowest computed polymorph (meV/atom) = 0
- space-group type = C2/m (12)
- formation energy without anion corrections (eV/atom) = 0.196

=====

Compound: CdIrOs2
Source: the Alexandria database
Functional: GGA-PBEsol
Structure: relaxed

Lattice parameters (Å, degrees): 2.737 4.559 5.698 113.58 103.90 90.00
Sites, in units of the cell vectors:
Cd 0.500 0.000 0.000
Ir 0.000 0.500 0.000
Os 0.720 0.720 0.440
Os 0.280 0.280 0.560

Summary:
- density (g/cm3) = 18.088
- D(E_F) (states/eV per cell) = 3.0
- DFT formation energy (eV per atom) = 0.53
- space-group type = Immm (71)

=====

Compound: CdC2NCl
Source: the Alexandria database
Functional: GGA-PBEsol
Structure: relaxed

Lattice parameters (Å, degrees): 3.871 3.861 3.861 90.00 90.00 90.00
Sites, in units of the cell vectors:
N 0.500 0.000 0.000
Cl 0.000 0.000 0.000
C 0.000 0.000 0.500
C 0.000 0.500 0.000
Cd 0.500 0.500 0.500

Summary:
- density (g/cm3) = 5.349
- D(E_F) (states/eV per cell) = 3.1
- space-group type = P4/mmm (123)
- formation energy without anion corrections (eV/atom) = 2.937

=====

Compound: Ca3MgMn
Source: the Alexandria database
Functional: GGA-PBEsol
Structure: relaxed

Lattice parameters (Å, degrees): 5.851 5.851 5.851 90.00 90.00 90.00
Site moments in Bohr magnetons follow the coordinates.
Sites, in units of the cell vectors:
Ca 0.000 0.500 0.000  -0.03
Ca 0.000 0.000 0.500  -0.03
Ca 0.500 0.000 0.000  -0.03
Mn 0.500 0.500 0.500  4.37
Mg 0.000 0.000 0.000  -0.01

Summary:
- density (g/cm3) = 1.653
- D(E_F) (states/eV per cell) = 7.1
- DFT formation energy (eV per atom) = 0.88
- ΔE to the lowest computed polymorph (meV/atom) = 404
- space-group type = Pm-3m (221)

=====

Compound: FeIr2W
Source: the Alexandria database
Functional: GGA-PBEsol
Structure: relaxed

Lattice parameters (Å, degrees): 3.770 3.770 3.776 90.00 90.00 90.00
Sites, in units of the cell vectors:
Ir 0.000 0.500 0.000
Ir 0.500 0.000 0.000
Fe 0.000 0.000 0.500
W 0.500 0.500 0.500

Summary:
- density (g/cm3) = 19.311
- D(E_F) (states/eV per cell) = 2.7
- DFT formation energy (eV per atom) = -0.23
- ΔE to the lowest computed polymorph (meV/atom) = 0
- space-group type = P4/mmm (123)